[1]
Sc8In2Tc | GGA-PBE | relaxed

Geometry as CIF:
```
data_Sc8In2Tc
_chemical_formula_sum 'Sc8 In2 Tc1'
_space_group_name_H-M_alt 'P 1'
_space_group_IT_number 1
_cell_length_a 8.516
_cell_length_b 8.516
_cell_length_c 8.516
_cell_angle_alpha 145.03
_cell_angle_beta 134.62
_cell_angle_gamma 58.55
loop_
_space_group_symop_operation_xyz
'x,y,z'
loop_
_atom_site_label
_atom_site_type_symbol
_atom_site_fract_x
_atom_site_fract_y
_atom_site_fract_z
Sc1 Sc 0.133 0.372 0.761
Sc2 Sc 0.186 0.186 0.000
Sc3 Sc 0.242 0.000 0.242
Sc4 Sc 0.388 0.628 0.761
Sc5 Sc 0.612 0.372 0.239
Sc6 Sc 0.758 0.000 0.758
Sc7 Sc 0.814 0.814 0.000
Sc8 Sc 0.867 0.628 0.239
In1 In 0.314 0.814 0.500
In2 In 0.686 0.186 0.500
Tc1 Tc 0.000 0.500 0.500
```

Symmetry: No. 71
Volume (Å³ per cell): 250
Formation energy (eV per atom): -0.268
M_tot (μB/cell): 1.7
Fermi-level density of states (states/eV/cell): 11.0



[2]
Er2PaOsC4 | GGA-PBE | relaxed

Geometry as CIF:
```
data_Er2PaOsC4
_chemical_formula_sum 'Er4 Pa2 Os2 C8'
_space_group_name_H-M_alt 'P 1'
_space_group_IT_number 1
_cell_length_a 6.112
_cell_length_b 6.112
_cell_length_c 11.899
_cell_angle_alpha 90.00
_cell_angle_beta 90.00
_cell_angle_gamma 147.06
loop_
_space_group_symop_operation_xyz
'x,y,z'
loop_
_atom_site_label
_atom_site_type_symbol
_atom_site_fract_x
_atom_site_fract_y
_atom_site_fract_z
Er1 Er 0.132 0.868 0.541
Er2 Er 0.132 0.868 0.959
Er3 Er 0.868 0.132 0.041
Er4 Er 0.868 0.132 0.459
Pa1 Pa 0.402 0.598 0.750
Pa2 Pa 0.598 0.402 0.250
Os1 Os 0.343 0.657 0.250
Os2 Os 0.657 0.343 0.750
C1 C 0.063 0.937 0.750
C2 C 0.229 0.771 0.134
C3 C 0.229 0.771 0.366
C4 C 0.500 0.500 0.000
C5 C 0.500 0.500 0.500
C6 C 0.771 0.229 0.634
C7 C 0.771 0.229 0.866
C8 C 0.937 0.063 0.250
```

Symmetry: No. 63
Volume (Å³ per cell): 242
Formation energy (eV per atom): -0.066
M_tot (μB/cell): 0.0
Fermi-level density of states (states/eV/cell): 8.3



[3]
La5ScSe6 | GGA-PBE | relaxed

Geometry as CIF:
```
data_La5ScSe6
_chemical_formula_sum 'La5 Sc1 Se6'
_space_group_name_H-M_alt 'P 1'
_space_group_IT_number 1
_cell_length_a 7.360
_cell_length_b 7.360
_cell_length_c 7.360
_cell_angle_alpha 99.69
_cell_angle_beta 99.69
_cell_angle_gamma 120.09
loop_
_space_group_symop_operation_xyz
'x,y,z'
loop_
_atom_site_label
_atom_site_type_symbol
_atom_site_fract_x
_atom_site_fract_y
_atom_site_fract_z
La1 La 0.000 0.000 0.000
La2 La 0.166 0.834 0.500
La3 La 0.327 0.673 0.000
La4 La 0.673 0.327 0.000
La5 La 0.834 0.166 0.500
Sc1 Sc 0.500 0.500 0.500
Se1 Se 0.107 0.422 0.264
Se2 Se 0.267 0.267 0.744
Se3 Se 0.422 0.107 0.264
Se4 Se 0.578 0.893 0.736
Se5 Se 0.733 0.733 0.256
Se6 Se 0.893 0.578 0.736
```

Symmetry: No. 12
Volume (Å³ per cell): 325
Uncorrected formation energy (meV/atom): -1906
M_tot (μB/cell): 0.0
Fermi-level density of states (states/eV/cell): 7.0



[4]
NbHRh3 | GGA-PBE | relaxed

Geometry as CIF:
```
data_NbHRh3
_chemical_formula_sum 'Nb1 H1 Rh3'
_space_group_name_H-M_alt 'P 1'
_space_group_IT_number 1
_cell_length_a 3.954
_cell_length_b 3.954
_cell_length_c 3.954
_cell_angle_alpha 90.00
_cell_angle_beta 90.00
_cell_angle_gamma 90.00
loop_
_space_group_symop_operation_xyz
'x,y,z'
loop_
_atom_site_label
_atom_site_type_symbol
_atom_site_fract_x
_atom_site_fract_y
_atom_site_fract_z
Nb1 Nb 0.000 0.000 0.000
H1 H 0.500 0.500 0.500
Rh1 Rh 0.000 0.500 0.500
Rh2 Rh 0.500 0.000 0.500
Rh3 Rh 0.500 0.500 0.000
```

Symmetry: No. 221
Volume (Å³ per cell): 62
M_tot (μB/cell): 0.0
Fermi-level density of states (states/eV/cell): 3.7
Distance to the lowest polymorph of the same formula (eV/atom): 0.0000



[5]
CdSnAu | GGA-PBE | relaxed

Geometry as CIF:
```
data_CdSnAu
_chemical_formula_sum 'Cd1 Sn1 Au1'
_space_group_name_H-M_alt 'P 1'
_space_group_IT_number 1
_cell_length_a 5.127
_cell_length_b 5.127
_cell_length_c 5.127
_cell_angle_alpha 134.33
_cell_angle_beta 134.33
_cell_angle_gamma 66.58
loop_
_space_group_symop_operation_xyz
'x,y,z'
loop_
_atom_site_label
_atom_site_type_symbol
_atom_site_fract_x
_atom_site_fract_y
_atom_site_fract_z
Cd1 Cd 0.000 0.000 0.000
Sn1 Sn 0.332 0.332 0.000
Au1 Au 0.668 0.668 0.000
```

Symmetry: No. 107
Volume (Å³ per cell): 68
Formation energy (eV per atom): -0.029
M_tot (μB/cell): 0.0
Fermi-level density of states (states/eV/cell): 0.9



[6]
Na4CaIn | GGA-PBE | relaxed

Geometry as CIF:
```
data_Na4CaIn
_chemical_formula_sum 'Na4 Ca1 In1'
_space_group_name_H-M_alt 'P 1'
_space_group_IT_number 1
_cell_length_a 6.439
_cell_length_b 6.439
_cell_length_c 6.439
_cell_angle_alpha 60.00
_cell_angle_beta 60.00
_cell_angle_gamma 60.00
loop_
_space_group_symop_operation_xyz
'x,y,z'
loop_
_atom_site_label
_atom_site_type_symbol
_atom_site_fract_x
_atom_site_fract_y
_atom_site_fract_z
Na1 Na 0.376 0.376 0.376
Na2 Na 0.376 0.376 0.872
Na3 Na 0.376 0.872 0.376
Na4 Na 0.872 0.376 0.376
Ca1 Ca 0.000 0.000 0.000
In1 In 0.750 0.750 0.750
```

Symmetry: No. 216
Volume (Å³ per cell): 189
Formation energy (eV per atom): 0.037
M_tot (μB/cell): 0.0
Fermi-level density of states (states/eV/cell): 6.2



[7]
AcTbCu10 | GGA-PBE | relaxed

Geometry as CIF:
```
data_AcTbCu10
_chemical_formula_sum 'Ac1 Tb1 Cu10'
_space_group_name_H-M_alt 'P 1'
_space_group_IT_number 1
_cell_length_a 4.113
_cell_length_b 5.190
_cell_length_c 8.916
_cell_angle_alpha 90.00
_cell_angle_beta 90.00
_cell_angle_gamma 90.00
loop_
_space_group_symop_operation_xyz
'x,y,z'
loop_
_atom_site_label
_atom_site_type_symbol
_atom_site_fract_x
_atom_site_fract_y
_atom_site_fract_z
Ac1 Ac 0.000 0.000 0.000
Tb1 Tb 0.000 0.500 0.500
Cu1 Cu 0.000 0.000 0.343
Cu2 Cu 0.000 0.000 0.657
Cu3 Cu 0.000 0.500 0.177
Cu4 Cu 0.000 0.500 0.823
Cu5 Cu 0.500 0.000 0.500
Cu6 Cu 0.500 0.256 0.260
Cu7 Cu 0.500 0.256 0.740
Cu8 Cu 0.500 0.500 0.000
Cu9 Cu 0.500 0.744 0.260
Cu10 Cu 0.500 0.744 0.740
```

Symmetry: No. 47
Volume (Å³ per cell): 190
Formation energy (eV per atom): -0.153
M_tot (μB/cell): 0.0
Fermi-level density of states (states/eV/cell): 6.9



[8]
La12CeEr5 | GGA-PBE | relaxed

Geometry as CIF:
```
data_La12CeEr5
_chemical_formula_sum 'La12 Ce1 Er5'
_space_group_name_H-M_alt 'P 1'
_space_group_IT_number 1
_cell_length_a 10.996
_cell_length_b 10.996
_cell_length_c 6.357
_cell_angle_alpha 106.79
_cell_angle_beta 106.79
_cell_angle_gamma 59.52
loop_
_space_group_symop_operation_xyz
'x,y,z'
loop_
_atom_site_label
_atom_site_type_symbol
_atom_site_fract_x
_atom_site_fract_y
_atom_site_fract_z
La1 La 0.002 0.669 0.169
La2 La 0.165 0.502 0.667
La3 La 0.165 0.835 0.000
La4 La 0.330 0.670 0.500
La5 La 0.331 0.998 0.831
La6 La 0.498 0.835 0.333
La7 La 0.502 0.165 0.667
La8 La 0.669 0.002 0.169
La9 La 0.670 0.330 0.500
La10 La 0.835 0.165 0.000
La11 La 0.835 0.498 0.333
La12 La 0.998 0.331 0.831
Ce1 Ce 0.000 0.000 0.500
Er1 Er 0.166 0.166 0.334
Er2 Er 0.333 0.333 0.169
Er3 Er 0.500 0.500 0.000
Er4 Er 0.667 0.667 0.831
Er5 Er 0.834 0.834 0.666
```

Symmetry: No. 12
Volume (Å³ per cell): 625
Formation energy (eV per atom): 0.033
M_tot (μB/cell): 1.0
Fermi-level density of states (states/eV/cell): 31.6



Number 8 is which compound? La12CeEr5